Entry 1
A plane-wave DFT calculation with PBE was carried out for crystalline Ac2CdRu at its relaxed geometry.

The magnetization is 0.00 μB per formula unit. The volume is 28.943 A^3/atom. The mass density is 9.57 g/cm³.

The structure belongs to space group Fm-3m (No. 225); the cell edges are 7.737, 7.737 and 7.737 Å and the angles 90.00°, 90.00° and 90.00°. Symmetry generates all atoms from Ac at (0.250, 0.250, 0.250), Cd at (0.000, 0.000, 0.000) and Ru at (0.000, 0.000, 0.500).

Entry 2
A plane-wave DFT calculation with PBE was carried out for crystalline Ac2CdRu at its relaxed geometry.

The magnetization is 0.00 μB per formula unit. The volume is 33.694 A^3/atom. The mass density is 8.22 g/cm³.

The structure belongs to space group R3m (No. 160, hexagonal axes); the cell edges are 4.3073, 4.3073 and 25.1646 Å and the angles 90.00°, 90.00° and 120.00°. Symmetry generates all atoms from Ac at (0.0000, 0.0000, 0.0000), Ac at (0.0000, 0.0000, 0.2074), Cd at (0.0000, 0.0000, 0.7697) and Ru at (0.0000, 0.0000, 0.6042).

Energies relative to the most stable structure, in meV/atom: entry 1 102; entry 2 0.

Entry 1
A plane-wave DFT calculation with PBE was carried out for crystalline Ac4CdRu at its relaxed geometry.

The magnetization is 0.00 μB per formula unit. The volume is 39.472 A^3/atom. The mass density is 7.86 g/cm³.

The structure belongs to space group C2/c (No. 15); the cell edges are 9.838, 15.885 and 7.310 Å and the angles 90.00°, 123.98° and 90.00°. Symmetry generates all atoms from Ac at (0.155, 0.208, 0.157), Ac at (0.225, 0.045, 0.721), Cd at (0.000, 0.383, 0.750) and Ru at (0.000, 0.081, 0.250).

Entry 2
A plane-wave DFT calculation with PBE was carried out for crystalline Ac4CdRu at its relaxed geometry.

The magnetization is 0.00 μB per formula unit. The volume is 34.120 A^3/atom. The mass density is 9.10 g/cm³.

The structure belongs to space group F-43m (No. 216); the cell edges are 14.851, 14.851 and 14.851 Å and the angles 90.00°, 90.00° and 90.00°. Symmetry generates all atoms from Ac at (0.000, 0.000, 0.189), Ac at (0.060, 0.250, 0.250), Ac at (0.155, 0.155, 0.655), Cd at (0.078, 0.078, 0.422) and Ru at (0.138, 0.138, 0.862).

Energies relative to the most stable structure, in meV/atom: entry 1 91; entry 2 0.